The following is a DFT calculation (PBE-GGA) of Pm6Sm2Er after structural relaxation.

Unit cell a=9.446 b=17.791 c=3.653 alpha=90.00 beta=90.00 gamma=90.00
Space group Cmmm (No. 65)
One atom of each set of equivalent atoms:
1 Pm 0.176 0.164 0.000 x8
2 Pm 0.185 0.000 0.500 x4
3 Sm 0.000 0.323 0.500 x4
4 Er 0.000 0.500 0.000 x2

energy relative to the elements = 0.13 eV per atom
volume = 614.0 Å³/cell